1.
Material: Na5HgPb2
Method: DFT, PBE
State: relaxed

Computed properties:
- uncorrected energy (eV per atom) = -1.9212
- size of the total moment (Bohr magnetons per cell) = 0.000

a b c (Å): 8.771 8.771 12.415
angles (deg): 90.00 90.00 90.00
Space group I4/mcm (No. 140)
Inequivalent atoms, fractional coordinates:
Na  0.000  0.000  0.000 (multiplicity 4)
Na  0.161  0.339  0.159 (multiplicity 16)
Hg  0.000  0.000  0.250 (multiplicity 4)
Pb  0.131  0.369  0.500 (multiplicity 8)

---

2.
Material: Na2Hg6Pb
Method: DFT, PBE
State: relaxed

Computed properties:
- uncorrected energy (eV per atom) = -1.0563
- size of the total moment (Bohr magnetons per cell) = 0.000

a b c (Å): 15.497 9.067 3.360
angles (deg): 90.00 90.42 90.00
Space group C2/m (No. 12)
Inequivalent atoms, fractional coordinates:
Na  0.166  0.000  0.000 (multiplicity 4)
Hg  0.000  0.165  0.500 (multiplicity 4)
Hg  0.168  0.333  0.493 (multiplicity 8)
Pb  0.000  0.500  0.000 (multiplicity 2)

---

3.
Material: Na5HgPb4
Method: DFT, PBE
State: relaxed

Computed properties:
- uncorrected energy (eV per atom) = -2.3121
- size of the total moment (Bohr magnetons per cell) = 0.000

a b c (Å): 3.684 3.684 20.678
angles (deg): 90.00 90.00 90.00
Space group P4/mmm (No. 123)
Inequivalent atoms, fractional coordinates:
Na  0.000  0.000  0.000 (multiplicity 1)
Na  0.000  0.000  0.200 (multiplicity 2)
Na  0.000  0.000  0.405 (multiplicity 2)
Hg  0.500  0.500  0.500 (multiplicity 1)
Pb  0.500  0.500  0.099 (multiplicity 2)
Pb  0.500  0.500  0.301 (multiplicity 2)

---

4.
Material: Na2HgPb
Method: DFT, PBE
State: relaxed

Computed properties:
- uncorrected energy (eV per atom) = -1.8396
- size of the total moment (Bohr magnetons per cell) = 0.000

a b c (Å): 9.745 7.880 6.091
angles (deg): 90.00 90.00 90.00
Space group Cmcm (No. 63)
Inequivalent atoms, fractional coordinates:
Na  0.187  0.172  0.250 (multiplicity 8)
Hg  0.000  0.500  0.000 (multiplicity 4)
Pb  0.000  0.169  0.750 (multiplicity 4)

---

5.
Material: NaHg15Pb4
Method: DFT, PBE
State: relaxed

Computed properties:
- uncorrected energy (eV per atom) = -1.0299
- size of the total moment (Bohr magnetons per cell) = 0.000

a b c (Å): 5.716 5.716 17.386
angles (deg): 90.00 90.00 90.00
Space group P4/mmm (No. 123)
Inequivalent atoms, fractional coordinates:
Na  0.000  0.000  0.000 (multiplicity 1)
Hg  0.000  0.500  0.100 (multiplicity 4)
Hg  0.000  0.500  0.301 (multiplicity 4)
Hg  0.000  0.500  0.500 (multiplicity 2)
Hg  0.500  0.500  0.000 (multiplicity 1)
Hg  0.500  0.500  0.201 (multiplicity 2)
Hg  0.500  0.500  0.400 (multiplicity 2)
Pb  0.000  0.000  0.210 (multiplicity 2)
Pb  0.000  0.000  0.405 (multiplicity 2)

---

6.
Material: Na3Hg2Pb4
Method: DFT, PBE
State: relaxed

Computed properties:
- uncorrected energy (eV per atom) = -2.2868
- size of the total moment (Bohr magnetons per cell) = 0.000

a b c (Å): 14.843 4.565 8.100
angles (deg): 90.00 111.29 90.00
Space group C2/m (No. 12)
Inequivalent atoms, fractional coordinates:
Na  0.000  0.000  0.000 (multiplicity 2)
Na  0.120  0.000  0.687 (multiplicity 4)
Hg  0.163  0.500  0.991 (multiplicity 4)
Pb  0.057  0.500  0.346 (multiplicity 4)
Pb  0.216  0.000  0.329 (multiplicity 4)

---

7.
Material: Na4Hg4Pb
Method: DFT, PBE
State: relaxed

Computed properties:
- uncorrected energy (eV per atom) = -1.2905
- size of the total moment (Bohr magnetons per cell) = 0.000

a b c (Å): 9.107 9.107 6.040
angles (deg): 90.00 90.00 90.00
Space group P4_2/n (No. 86, origin choice 2)
Inequivalent atoms, fractional coordinates:
Na  0.078  0.827  0.116 (multiplicity 8)
Hg  0.043  0.146  0.366 (multiplicity 8)
Pb  0.250  0.250  0.750 (multiplicity 2)

---

8.
Material: NaHg4Pb5
Method: DFT, PBE
State: relaxed

Computed properties:
- uncorrected energy (eV per atom) = -2.1457
- size of the total moment (Bohr magnetons per cell) = 0.000

a b c (Å): 15.029 3.509 11.612
angles (deg): 90.00 106.17 90.00
Space group C2/m (No. 12)
Inequivalent atoms, fractional coordinates:
Na  0.000  0.000  0.000 (multiplicity 2)
Hg  0.121  0.500  0.838 (multiplicity 4)
Hg  0.195  0.500  0.108 (multiplicity 4)
Pb  0.000  0.000  0.500 (multiplicity 2)
Pb  0.086  0.500  0.304 (multiplicity 4)
Pb  0.207  0.500  0.609 (multiplicity 4)